## Dy2AlZn6 (PBE)

Data for a relaxed Dy2AlZn6 crystal.

Computed properties:
- symmetry = C2/m, No. 12
- energy of formation from the pure elements (eV/atom) = -0.32
- uncorrected energy (Ry/atom) = -0.1916

Geometry as extended XYZ:
```
9
Lattice="5.0146 -2.7878 0.0000 5.0146 2.7878 0.0000 -0.1620 0.0000 5.8720" Properties=species:S:1:pos:R:3 pbc="T T T"
Dy 1.6510 0.0000 0.8279
Dy 8.2162 0.0000 5.0441
Al 5.0146 0.0000 0.0000
Zn 4.0951 1.4781 1.9702
Zn 3.0791 0.0000 3.8390
Zn 5.7721 1.4781 3.9018
Zn 4.0951 -1.4781 1.9702
Zn 6.7881 0.0000 2.0330
Zn 5.7721 -1.4781 3.9018
```

=====

## Dy5AlZn4 (PBE)

Data for a relaxed Dy5AlZn4 crystal.

Computed properties:
- symmetry = P4/mmm, No. 123
- energy of formation from the pure elements (eV/atom) = -0.35
- uncorrected energy (Ry/atom) = -0.2602

Geometry as extended XYZ:
```
10
Lattice="3.5645 0.0000 0.0000 0.0000 3.5645 0.0000 0.0000 0.0000 18.0047" Properties=species:S:1:pos:R:3 pbc="T T T"
Dy 0.0000 0.0000 0.0000
Dy 0.0000 0.0000 3.5725
Dy 0.0000 0.0000 7.1371
Dy 0.0000 0.0000 10.8675
Dy 0.0000 0.0000 14.4322
Al 1.7822 1.7822 9.0023
Zn 1.7822 1.7822 1.7980
Zn 1.7822 1.7822 5.3579
Zn 1.7822 1.7822 12.6468
Zn 1.7822 1.7822 16.2066
```

=====

## Dy3Al7Zn4 (PBE)

Data for a relaxed Dy3Al7Zn4 crystal.

Computed properties:
- symmetry = C2/m, No. 12
- energy of formation from the pure elements (eV/atom) = -0.40
- uncorrected energy (Ry/atom) = -0.2661

Geometry as extended XYZ:
```
14
Lattice="7.9122 -2.1064 0.0000 7.9122 2.1064 0.0000 -5.9936 0.0000 7.8304" Properties=species:S:1:pos:R:3 pbc="T T T"
Dy 0.0000 0.0000 0.0000
Dy 3.1358 0.0000 2.4390
Dy 6.6951 0.0000 5.3914
Al -2.9968 0.0000 3.9152
Al -0.0593 0.0000 3.3167
Al -0.6015 0.0000 7.6135
Al 3.5686 0.0000 5.5420
Al 6.2623 0.0000 2.2884
Al 10.4324 0.0000 0.2169
Al 9.8902 0.0000 4.5136
Zn -3.0571 0.0000 6.6653
Zn 1.0369 0.0000 5.7106
Zn 8.7939 0.0000 2.1197
Zn 12.8879 0.0000 1.1651
```

=====

## DyAlZn (PBE)

Data for a relaxed DyAlZn crystal.

Computed properties:
- symmetry = I4mm, No. 107
- energy of formation from the pure elements (eV/atom) = -0.24
- uncorrected energy (Ry/atom) = -0.2535

Geometry as extended XYZ:
```
3
Lattice="-1.6542 1.6542 5.5807 1.6542 -1.6542 5.5807 1.6542 1.6542 -5.5807" Properties=species:S:1:pos:R:3 pbc="T T T"
Dy 0.0000 0.0000 0.0000
Al 0.0000 0.0000 7.7121
Zn 0.0000 0.0000 3.5394
```

=====

## Dy2Al3Zn (PBE)

Data for a relaxed Dy2Al3Zn crystal.

Computed properties:
- symmetry = Fmmm, No. 69
- energy of formation from the pure elements (eV/atom) = -0.48
- uncorrected energy (Ry/atom) = -0.3010

Geometry as extended XYZ:
```
12
Lattice="0.0000 4.5254 7.7876 3.5532 0.0000 7.7876 3.5532 4.5254 0.0000" Properties=species:S:1:pos:R:3 pbc="T T T"
Dy 5.3377 4.5254 7.7876
Dy 1.7766 2.2627 3.8938
Dy 5.3298 6.7882 11.6814
Dy 1.7688 4.5254 7.7876
Al 3.5532 2.2482 6.4774
Al 3.5532 4.5254 5.1696
Al 3.5532 2.2482 9.0978
Al 3.5532 6.8027 6.4774
Al 3.5532 4.5254 10.4056
Al 3.5532 6.8027 9.0978
Zn 3.5532 4.5254 2.5954
Zn 3.5532 4.5254 12.9797
```

=====

## DyAl7Zn5 (PBE)

Data for a relaxed DyAl7Zn5 crystal.

Computed properties:
- symmetry = Imm2, No. 44
- energy of formation from the pure elements (eV/atom) = -0.09
- uncorrected energy (Ry/atom) = -0.2167

Geometry as extended XYZ:
```
13
Lattice="-2.5631 4.6465 4.6153 2.5631 -4.6465 4.6153 2.5631 4.6465 -4.6153" Properties=species:S:1:pos:R:3 pbc="T T T"
Dy 0.0000 0.0000 0.0000
Al 2.5631 0.0000 1.9372
Al 2.5631 2.0030 -0.0449
Al 2.5631 -1.3470 4.5495
Al 0.0000 0.0000 3.2388
Al 2.5631 1.3470 4.5495
Al 0.0000 0.0000 5.9035
Al 0.0000 2.6435 4.5704
Zn 1.2805 2.3509 2.2582
Zn 1.2826 -2.2956 6.8735
Zn 0.0000 4.6465 2.5922
Zn 1.2805 6.9421 2.2582
Zn 1.2826 2.2956 6.8735
```